The following is a PBE-GGA calculation of a relaxed HfCoOs2 crystal, from Alexandria.

Structure (POSCAR):
```
HfCoOs2
1.0
0.000 3.125 3.125
3.125 0.000 3.125
3.125 3.125 0.000
Hf Co Os
1 1 2
Cartesian
0.000 0.000 0.000
3.125 3.125 3.125
1.562 1.562 1.562
4.687 4.687 4.687
```

- formation energy (eV per atom) = 0.10
- ΔE to the lowest computed polymorph (eV/f.u.) = 0.00
- calculated total energy (eV for the cell shown) = -39.125